1.
The following is a DFT calculation (GGA-PBE) of a relaxed HfCr2Te2 crystal.

Lattice parameters (Å, degrees): 7.6331 7.6331 3.5631 90.00 90.00 90.00
With the nearest neighbours (Å) after each atom.
Space group P4/mbm (No. 127)
Symmetry-distinct sites (fractional):
Hf 0.0000 0.0000 0.0000 x2  4 Te 2.88
Cr 0.1431 0.3569 0.5000 x4  6 Te 2.80-2.90, 1 Cr 3.09
Te 0.1569 0.6569 0.0000 x4  6 Cr 2.80-2.90, 2 Hf 2.88

Values from the calculation:
Raw total energy ... -34.6 eV/f.u.

2.
The following is a DFT calculation (GGA-PBE) of a relaxed HfCrTe crystal.

Lattice parameters (Å, degrees): 3.7620 3.7620 34.0118 90.00 90.00 120.00
With the nearest neighbours (Å) after each atom.
Space group R-3m (No. 166, hexagonal axes)
Symmetry-distinct sites (fractional):
Hf 0.0000 0.0000 0.0586 x6  3 Te 2.91, 6 Cr 2.92-2.98
Cr 0.0000 0.0000 0.3346 x6  3 Cr 2.17
Te 0.0000 0.0000 0.2179 x6  3 Hf 2.91

Values from the calculation:
Raw total energy ... -23.2 eV/f.u.

3.
The following is a DFT calculation (GGA-PBE) of a relaxed Hf2CrTe6 crystal.

Lattice parameters (Å, degrees): 6.9433 7.3235 11.4553 90.00 125.03 90.00
With the nearest neighbours (Å) after each atom.
Space group P2_1/c (No. 14)
Symmetry-distinct sites (fractional):
Hf 0.2190 0.1431 0.2514 x4  6 Te 2.83-3.11
Cr 0.0000 0.0000 0.5000 x2  6 Te 2.70-2.74
Te 0.0864 0.1698 0.9295 x4  1 Cr 2.72, 2 Hf 3.00-3.01
Te 0.2713 0.6708 0.9302 x4  1 Cr 2.74, 1 Hf 2.96
Te 0.4125 0.0136 0.7593 x4  1 Cr 2.70, 2 Hf 2.83-2.87

Values from the calculation:
Raw total energy ... -52.7 eV/f.u.

4.
The following is a DFT calculation (GGA-PBE) of a relaxed Hf2Tl3CrTe6 crystal.

Lattice parameters (Å, degrees): 7.1649 12.4118 8.7011 90.00 105.82 90.00
With the nearest neighbours (Å) after each atom.
Space group C2/m (No. 12)
Symmetry-distinct sites (fractional):
Hf 0.0000 0.1657 0.0000 x4  6 Te 2.91-2.92
Tl 0.0000 0.0000 0.5000 x2  6 Te 3.48-3.50
Tl 0.0000 0.3302 0.5000 x4  6 Te 3.47-3.49
Cr 0.0000 0.5000 0.0000 x2  6 Te 2.87-2.88
Te 0.2293 0.3353 0.1967 x8  1 Cr 2.88, 2 Hf 2.92
Te 0.2374 0.0000 0.1975 x4  1 Cr 2.87, 2 Hf 2.91

Values from the calculation:
Raw total energy ... -61.0 eV/f.u.

no.,raw formation energy (eV per atom)
1,0.1691
2,-0.1743
3,-0.4782
4,-0.4592